# 1
Entry from Alexandria: an optimized crystal structure of AcThSb (PBE).

Properties
Formation energy from raw total energies, eV/f.u.: -0.73
Polymorph energy (0 for the lowest one), eV per atom: 0.249
SG: P-6m2, No. 187

abc: 5.451 5.451 4.149
angles: 90.00 90.00 120.00
Fractional positions:
1 Ac 0.000 0.000 0.000
2 Th 0.333 0.667 0.500
3 Sb 0.667 0.333 0.500

# 2
Entry from Alexandria: an optimized crystal structure of Sc4NiRu (PBE).

Properties
Polymorph energy (0 for the lowest one), eV per atom: 0.933
SG: F-43m, No. 216

abc: 5.433 5.433 5.433
angles: 60.00 60.00 60.00
Fractional positions:
1 Sc 0.376 0.376 0.376
2 Sc 0.376 0.376 0.873
3 Sc 0.376 0.873 0.376
4 Sc 0.873 0.376 0.376
5 Ni 0.000 0.000 0.000
6 Ru 0.750 0.750 0.750

# 3
Entry from Alexandria: an optimized crystal structure of KMn2Br8 (PBE).

Properties
Formation energy from raw total energies, eV/f.u.: -7.95
SG: P-3, No. 147

abc: 7.772 7.772 8.064
angles: 90.00 90.00 120.00
Fractional positions:
1 K 0.000 0.000 0.000
2 Mn 0.333 0.667 0.778
3 Mn 0.667 0.333 0.222
4 Br 0.169 0.340 0.683
5 Br 0.171 0.831 0.683
6 Br 0.333 0.667 0.065
7 Br 0.340 0.171 0.317
8 Br 0.660 0.829 0.683
9 Br 0.667 0.333 0.935
10 Br 0.829 0.169 0.317
11 Br 0.831 0.660 0.317

# 4
Entry from Alexandria: an optimized crystal structure of Hf7Tl2C2 (PBE).

Properties
Raw total energy, eV per atom: -8.31
SG: C2/m, No. 12

abc: 6.050 6.050 7.729
angles: 95.51 95.51 110.88
Fractional positions:
1 Hf 0.000 0.000 0.000
2 Hf 0.086 0.510 0.829
3 Hf 0.403 0.403 0.174
4 Hf 0.490 0.914 0.171
5 Hf 0.510 0.086 0.829
6 Hf 0.597 0.597 0.826
7 Hf 0.914 0.490 0.171
8 Tl 0.307 0.693 0.500
9 Tl 0.693 0.307 0.500
10 C 0.288 0.288 0.884
11 C 0.712 0.712 0.116

# 5
Entry from Alexandria: an optimized crystal structure of Na2CrHgW (PBE).

Properties
Raw total energy, eV per atom: -3.84
SG: P4/mmm, No. 123

abc: 5.531 5.531 4.552
angles: 90.00 90.00 90.00
Fractional positions:
1 Na 0.000 0.500 0.000
2 Na 0.500 0.000 0.000
3 Cr 0.000 0.000 0.000
4 Hg 0.500 0.500 0.500
5 W 0.000 0.000 0.500

# 6
Entry from Alexandria: an optimized crystal structure of ZnReOs2 (PBE).

Properties
Raw total energy, eV per atom: -8.80
SG: Cm, No. 8

abc: 9.162 2.754 4.693
angles: 90.00 100.46 90.00
Fractional positions:
1 Zn 0.000 0.000 0.000
2 Zn 0.500 0.500 0.000
3 Re 0.237 0.000 0.710
4 Re 0.737 0.500 0.710
5 Os 0.255 0.500 0.213
6 Os 0.488 0.000 0.505
7 Os 0.755 0.000 0.213
8 Os 0.988 0.500 0.505

# 7
Entry from Alexandria: an optimized crystal structure of ZrSn2Hg (PBE).

Properties
Raw total energy, eV per atom: -4.18
SG: R3m, No. 160

abc: 4.469 4.469 18.382
angles: 90.00 90.00 120.00
Fractional positions:
1 Zr 0.000 0.000 0.000
2 Zr 0.333 0.667 0.667
3 Zr 0.667 0.333 0.333
4 Sn 0.000 0.000 0.413
5 Sn 0.000 0.000 0.585
6 Sn 0.333 0.667 0.079
7 Sn 0.333 0.667 0.252
8 Sn 0.667 0.333 0.746
9 Sn 0.667 0.333 0.918
10 Hg 0.000 0.000 0.828
11 Hg 0.333 0.667 0.495
12 Hg 0.667 0.333 0.162

# 8
Entry from Alexandria: an optimized crystal structure of NpNiPt4 (PBE).

Properties
Raw total energy, eV per atom: -7.47
SG: F-43m, No. 216

abc: 5.298 5.298 5.298
angles: 60.00 60.00 60.00
Fractional positions:
1 Np 0.000 0.000 0.000
2 Ni 0.250 0.250 0.250
3 Pt 0.127 0.624 0.624
4 Pt 0.624 0.127 0.624
5 Pt 0.624 0.624 0.127
6 Pt 0.624 0.624 0.624

# 9
Entry from Alexandria: an optimized crystal structure of PaCu2Ag2O6 (PBE).

Properties
Formation energy from raw total energies, eV/f.u.: -12.91
SG: P-3, No. 147

abc: 5.784 5.784 5.825
angles: 90.00 90.00 120.00
Fractional positions:
1 Pa 0.000 0.000 0.000
2 Cu 0.333 0.667 0.779
3 Cu 0.667 0.333 0.221
4 Ag 0.333 0.667 0.292
5 Ag 0.667 0.333 0.708
6 O 0.041 0.325 0.781
7 O 0.284 0.959 0.781
8 O 0.325 0.284 0.219
9 O 0.675 0.716 0.781
10 O 0.716 0.041 0.219
11 O 0.959 0.675 0.219

# 10
Entry from Alexandria: an optimized crystal structure of TiTcSn (PBE).

Properties
Polymorph energy (0 for the lowest one), eV per atom: 0.000
SG: I4mm, No. 107

abc: 3.332 3.332 9.201
angles: 90.00 90.00 90.00
Fractional positions:
1 Ti 0.000 0.000 0.000
2 Ti 0.500 0.500 0.500
3 Tc 0.000 0.000 0.361
4 Tc 0.500 0.500 0.861
5 Sn 0.000 0.000 0.684
6 Sn 0.500 0.500 0.184

# 11
Entry from Alexandria: an optimized crystal structure of Sc2BeFe3 (PBE).

Properties
Raw total energy, eV per atom: -7.19
SG: R-3m, No. 166

abc: 4.829 4.829 4.829
angles: 60.83 60.83 60.83
Fractional positions:
1 Sc 0.125 0.125 0.125
2 Sc 0.875 0.875 0.875
3 Be 0.500 0.500 0.500
4 Fe 0.000 0.500 0.500
5 Fe 0.500 0.000 0.500
6 Fe 0.500 0.500 0.000

# 12
Entry from Alexandria: an optimized crystal structure of LiFeIr (PBE).

Properties
Polymorph energy (0 for the lowest one), eV per atom: 0.190
SG: P-6m2, No. 187

abc: 4.121 4.121 5.343
angles: 90.00 90.00 120.00
Fractional positions:
1 Li 0.000 0.000 0.000
2 Li 0.000 0.000 0.500
3 Fe 0.667 0.333 0.193
4 Fe 0.667 0.333 0.807
5 Ir 0.333 0.667 0.245
6 Ir 0.333 0.667 0.755

# 13
Entry from Alexandria: an optimized crystal structure of TaNi7Sb2Pt2 (PBE).

Properties
Formation energy from raw total energies, eV/f.u.: -2.09
SG: C2/m, No. 12

abc: 3.578 3.578 13.917
angles: 96.95 96.95 90.01
Fractional positions:
1 Ta 0.000 0.000 0.000
2 Ni 0.063 0.563 0.134
3 Ni 0.269 0.269 0.535
4 Ni 0.437 0.937 0.866
5 Ni 0.500 0.500 0.000
6 Ni 0.563 0.063 0.134
7 Ni 0.731 0.731 0.465
8 Ni 0.937 0.437 0.866
9 Sb 0.168 0.168 0.357
10 Sb 0.832 0.832 0.643
11 Pt 0.372 0.372 0.728
12 Pt 0.628 0.628 0.272

# 14
Entry from Alexandria: an optimized crystal structure of ErAgI4 (PBE).

Properties
Formation energy from raw total energies, eV/f.u.: -5.53
Polymorph energy (0 for the lowest one), eV per atom: 0.053
SG: C2/m, No. 12

abc: 11.956 11.956 8.576
angles: 104.66 104.66 30.07
Fractional positions:
1 Er 0.185 0.185 0.080
2 Er 0.815 0.815 0.920
3 Ag 0.174 0.174 0.498
4 Ag 0.826 0.826 0.502
5 I 0.081 0.081 0.204
6 I 0.112 0.112 0.744
7 I 0.282 0.282 0.392
8 I 0.300 0.300 0.930
9 I 0.700 0.700 0.070
10 I 0.718 0.718 0.608
11 I 0.888 0.888 0.256
12 I 0.919 0.919 0.796

# 15
Entry from Alexandria: an optimized crystal structure of TbPmSm2Dy5 (PBE).

Properties
Raw total energy, eV per atom: -4.38
SG: I4/mcm, No. 140

abc: 9.872 9.872 9.872
angles: 127.48 127.48 77.47
Fractional positions:
1 Tb 0.250 0.750 0.500
2 Tb 0.750 0.250 0.500
3 Pm 0.250 0.250 0.000
4 Pm 0.750 0.750 0.000
5 Sm 0.116 0.616 0.733
6 Sm 0.384 0.116 0.500
7 Sm 0.616 0.884 0.500
8 Sm 0.884 0.384 0.267
9 Dy 0.000 0.000 0.000
10 Dy 0.072 0.155 0.500
11 Dy 0.155 0.655 0.083
12 Dy 0.345 0.428 0.500
13 Dy 0.428 0.928 0.083
14 Dy 0.500 0.500 0.000
15 Dy 0.572 0.072 0.917
16 Dy 0.655 0.572 0.500
17 Dy 0.845 0.345 0.917
18 Dy 0.928 0.845 0.500

# 16
Entry from Alexandria: an optimized crystal structure of Fe2OsSe (PBE).

Properties
Formation energy from raw total energies, eV/f.u.: 2.07
SG: I-4m2, No. 119

abc: 3.714 3.714 7.958
angles: 90.00 90.00 90.00
Fractional positions:
1 Fe 0.000 0.000 0.000
2 Fe 0.000 0.500 0.250
3 Fe 0.500 0.000 0.750
4 Fe 0.500 0.500 0.500
5 Os 0.000 0.500 0.750
6 Os 0.500 0.000 0.250
7 Se 0.000 0.000 0.500
8 Se 0.500 0.500 0.000

# 17
Entry from Alexandria: an optimized crystal structure of ScPd2Au (PBE).

Properties
Polymorph energy (0 for the lowest one), eV per atom: 0.413
SG: I-42d, No. 122

abc: 7.244 7.244 5.633
angles: 90.00 90.00 90.00
Fractional positions:
1 Sc 0.000 0.000 0.000
2 Sc 0.000 0.500 0.250
3 Sc 0.500 0.000 0.750
4 Sc 0.500 0.500 0.500
5 Pd 0.239 0.750 0.125
6 Pd 0.250 0.239 0.875
7 Pd 0.250 0.261 0.375
8 Pd 0.261 0.750 0.625
9 Pd 0.739 0.250 0.625
10 Pd 0.750 0.739 0.375
11 Pd 0.750 0.761 0.875
12 Pd 0.761 0.250 0.125
13 Au 0.000 0.000 0.500
14 Au 0.000 0.500 0.750
15 Au 0.500 0.000 0.250
16 Au 0.500 0.500 0.000

# 18
Entry from Alexandria: an optimized crystal structure of SrZr2Au (PBE).

Properties
Polymorph energy (0 for the lowest one), eV per atom: 0.102
SG: Immm, No. 71

abc: 3.338 5.253 11.719
angles: 90.00 90.00 90.00
Fractional positions:
1 Sr 0.000 0.000 0.000
2 Sr 0.500 0.500 0.500
3 Zr 0.000 0.500 0.212
4 Zr 0.000 0.500 0.788
5 Zr 0.500 0.000 0.288
6 Zr 0.500 0.000 0.712
7 Au 0.000 0.000 0.500
8 Au 0.500 0.500 0.000

# 19
Entry from Alexandria: an optimized crystal structure of Ga2BWCl (PBE).

Properties
Formation energy from raw total energies, eV/f.u.: 9.99
SG: P4/mmm, No. 123

abc: 5.142 5.142 4.395
angles: 90.00 90.00 90.00
Fractional positions:
1 Ga 0.000 0.500 0.000
2 Ga 0.500 0.000 0.000
3 B 0.000 0.000 0.500
4 W 0.500 0.500 0.500
5 Cl 0.500 0.500 0.000

# 20
Entry from Alexandria: an optimized crystal structure of Pm2PrTmAs4 (PBE).

Properties
Raw total energy, eV per atom: -6.17
SG: P2/m, No. 10

abc: 7.297 4.218 7.298
angles: 90.00 109.48 90.00
Fractional positions:
1 Pm 0.000 0.000 0.000
2 Pm 0.500 0.500 0.000
3 Pr 0.000 0.500 0.500
4 Tm 0.500 0.000 0.500
5 As 0.256 0.000 0.749
6 As 0.259 0.500 0.256
7 As 0.741 0.500 0.744
8 As 0.744 0.000 0.251

Number 1: D(E_F) 4.62 states/eV/cell, calculated density 9.0 g/cm3. Number 2: D(E_F) 6.11 states/eV/cell, calculated density 5.0 g/cm3. Number 3: D(E_F) 9.23 states/eV/cell, calculated density 3.1 g/cm3. Number 4: D(E_F) 11.45 states/eV/cell, calculated density 10.7 g/cm3. Number 5: D(E_F) 2.51 states/eV/cell, calculated density 5.8 g/cm3. Number 6: D(E_F) 8.27 states/eV/cell, calculated density 18.0 g/cm3. Number 7: D(E_F) 5.40 states/eV/cell, calculated density 8.3 g/cm3. Number 8: D(E_F) 14.21 states/eV/cell, calculated density 17.0 g/cm3. Number 9: D(E_F) 8.12 states/eV/cell, calculated density 6.6 g/cm3. Number 10: D(E_F) 5.86 states/eV/cell, calculated density 8.6 g/cm3. Number 11: D(E_F) 5.38 states/eV/cell, calculated density 5.5 g/cm3. Number 12: D(E_F) 4.51 states/eV/cell, calculated density 10.8 g/cm3. Number 13: D(E_F) 10.84 states/eV/cell, calculated density 11.6 g/cm3. Number 14: D(E_F) 0.00 states/eV/cell, calculated density 4.4 g/cm3. Number 15: D(E_F) 21.10 states/eV/cell, calculated density 8.0 g/cm3. Number 16: D(E_F) 7.12 states/eV/cell, calculated density 11.5 g/cm3. Number 17: D(E_F) 3.66 states/eV/cell, calculated density 10.2 g/cm3. Number 18: D(E_F) 8.19 states/eV/cell, calculated density 7.5 g/cm3. Number 19: D(E_F) 3.42 states/eV/cell, calculated density 5.3 g/cm3. Number 20: D(E_F) 0.67 states/eV/cell, calculated density 7.1 g/cm3.